First-principles (PBE+U) data for a relaxed structure of ThNpMn2O8, as listed in Alexandria.

Structure (extended XYZ):
```
12
Lattice="-2.5252 -1.3274 -3.8877 -3.0536 -2.8407 2.4276 -5.2041 4.9768 0.7612" Properties=species:S:1:pos:R:3 pbc="T T T"
Th -2.6021 2.4884 0.3806
Np 0.0000 0.0000 0.0000
Mn -6.4303 1.6413 -0.1391
Mn -4.3527 -0.8326 -0.5597
O -4.1803 -1.3891 1.3067
O -4.2992 -2.7524 -1.0108
O -3.8727 -0.5012 -2.4262
O -6.6026 2.1978 -2.0055
O -6.4838 3.5611 0.3120
O -6.9103 1.3099 1.7274
O -6.4960 -0.2272 -0.5876
O -4.2869 1.0359 -0.1112
```

Summary:
raw total energy: -8.700 eV/atom